Entry 1:
First-principles (PBE) data for a geometry-optimized ZrP2Ir structure, as listed in the Alexandria database.

Output
- Symmetry: No. 119
- E_tot: -7.537 eV per atom
- Energy of formation: -0.48 eV per atom
- Polymorph energy (0 for the lowest one): 0.2281 eV/atom

Unit cell a=5.481 b=5.481 c=5.481 alpha=141.68 beta=141.68 gamma=55.30
Fractional coordinates of all 4 atoms:
1 Zr 0.000 0.000 0.000
2 P 0.500 0.500 0.000
3 P 0.750 0.250 0.500
4 Ir 0.250 0.750 0.500

---

Entry 2:
First-principles (PBE) data for a geometry-optimized Zr2PIr structure, as listed in the Alexandria database.

Output
- Symmetry: No. 71
- E_tot: -8.538 eV per atom
- Energy of formation: -0.70 eV per atom

Unit cell a=4.845 b=4.845 c=4.845 alpha=131.49 beta=117.00 gamma=83.32
Fractional coordinates of all 4 atoms:
1 Zr 0.241 0.241 0.000
2 Zr 0.759 0.759 0.000
3 P 0.000 0.500 0.500
4 Ir 0.500 0.000 0.500

---

Entry 3:
First-principles (PBE) data for a geometry-optimized ZrP2Ir structure, as listed in the Alexandria database.

Output
- Symmetry: No. 160
- E_tot: -7.368 eV per atom
- Energy of formation: -0.31 eV per atom
- Polymorph energy (0 for the lowest one): 0.3968 eV/atom

Unit cell a=7.464 b=7.464 c=7.464 alpha=28.82 beta=28.82 gamma=28.82
Fractional coordinates of all 4 atoms:
1 Zr 0.000 0.000 0.000
2 P 0.268 0.268 0.268
3 P 0.462 0.462 0.462
4 Ir 0.763 0.763 0.763

---

Entry 4:
First-principles (PBE) data for a geometry-optimized ZrPIr2 structure, as listed in the Alexandria database.

Output
- Symmetry: No. 123
- E_tot: -8.280 eV per atom
- Energy of formation: -0.36 eV per atom

Unit cell a=3.391 b=3.391 c=5.640 alpha=90.00 beta=90.00 gamma=90.00
Fractional coordinates of all 4 atoms:
1 Zr 0.000 0.000 0.000
2 P 0.000 0.000 0.500
3 Ir 0.500 0.500 0.263
4 Ir 0.500 0.500 0.737

---

Entry 5:
First-principles (PBE) data for a geometry-optimized ZrP2Ir structure, as listed in the Alexandria database.

Output
- Symmetry: No. 47
- E_tot: -7.742 eV per atom
- Energy of formation: -0.69 eV per atom
- Polymorph energy (0 for the lowest one): 0.0229 eV/atom

Unit cell a=3.321 b=3.706 c=5.294 alpha=90.00 beta=90.00 gamma=90.00
Fractional coordinates of all 4 atoms:
1 Zr 0.000 0.000 0.000
2 P 0.500 0.500 0.226
3 P 0.500 0.500 0.774
4 Ir 0.500 0.000 0.500

---

Entry 6:
First-principles (PBE) data for a geometry-optimized ZrP2Ir structure, as listed in the Alexandria database.

Output
- Symmetry: No. 65
- E_tot: -7.444 eV per atom
- Energy of formation: -0.39 eV per atom
- Polymorph energy (0 for the lowest one): 0.3213 eV/atom

Unit cell a=3.232 b=3.232 c=6.428 alpha=90.00 beta=90.00 gamma=106.65
Fractional coordinates of all 4 atoms:
1 Zr 0.000 0.000 0.000
2 P 0.500 0.500 0.276
3 P 0.500 0.500 0.724
4 Ir 0.000 0.000 0.500

---

Calculated values (μB per atom) of M_tot for the records, taken in order: 0.000; 0.000; 0.000; 0.000; 0.000; 0.000.